DFT (PBE-GGA) results for a relaxed Pr6PtAu2 crystal.

```
data_Pr6PtAu2
_chemical_formula_sum 'Pr12 Pt2 Au4'
_cell_length_a 6.8746
_cell_length_b 7.7065
_cell_length_c 12.3667
_cell_angle_alpha 90.00
_cell_angle_beta 119.89
_cell_angle_gamma 90.00
_symmetry_space_group_name_H-M 'P 1 21/c 1'
_symmetry_Int_Tables_number 14
_symmetry_space_group_name_Hall '-P 2ybc'
loop_
_atom_site_label
_atom_site_type_symbol
_atom_site_fract_x
_atom_site_fract_y
_atom_site_fract_z
Pr1 Pr 0.1001 0.1977 0.4330
Pr2 Pr 0.2644 0.6711 0.4340
Pr3 Pr 0.3922 0.0390 0.2406
Pt1 Pt 0.5000 0.0000 0.5000
Au1 Au 0.1670 0.1109 0.7294
```

Computed properties:
Mass density in Mg/m³: 8.4
E_form in eV/f.u.: -4.92